Computed, not measured: crystalline HgPb3O at its relaxed geometry at the PBE level of DFT.

The structure belongs to space group Pm-3m (No. 221); the cell edges are 5.701, 5.701 and 5.701 Å and the angles 90.00°, 90.00° and 90.00°. The inequivalent atoms are Hg at (0.000, 0.000, 0.000), Pb at (0.000, 0.000, 0.500) and O at (0.500, 0.500, 0.500).

Its size of the total moment is 0.000 Bohr magnetons per cell. For the uncorrected formation energy, the calculation gives 4.32 eV/f.u. The value obtained for the total energy is -2.4136 eV per atom.